No. 1
Computed, not measured: Rb2MnF4 at its PBEsol-relaxed geometry at the SCAN level of DFT.

a = 4.2189 Å, b = 4.2189 Å, c = 7.4798 Å
α = 106.38°, β = 106.38°, γ = 90.00°
Last column: magnetic moment on the atom in μB.
Element x y z (fractional)
Mn1 0.0000 0.0000 0.0000  4.63
Rb1 0.3540 0.3540 0.7080  0.00
Rb2 0.6460 0.6460 0.2920  0.00
F1 0.0000 0.5000 0.0000  0.06
F2 0.5000 0.0000 0.0000  0.06
F3 0.1529 0.1529 0.3058  0.04
F4 0.8471 0.8471 0.6942  0.04

The volume comes out at 122.09 Å³ per cell. The magnetic moment is 5.00 μB per formula unit. The electronic total energy is -94.611 eV/cell. The calculation puts the formation energy (no corrections) at -2.960 eV/atom. Its calculated density is 4.1 g/cm3.

---

No. 2
Computed, not measured: MnReF2 at its PBEsol-relaxed geometry at the SCAN level of DFT.

a = 2.6887 Å, b = 2.6887 Å, c = 7.6428 Å
α = 79.87°, β = 79.87°, γ = 60.00°
Last column: magnetic moment on the atom in μB.
Element x y z (fractional)
Re1 0.0000 0.0000 0.0000  0.03
Mn1 0.5000 0.5000 0.5000  3.98
F1 0.9088 0.9088 0.2736  0.04
F2 0.0912 0.0912 0.7264  0.04

The volume comes out at 46.85 Å³ per cell. The magnetic moment is 4.21 μB per formula unit. The electronic total energy is -100.810 eV/cell. The calculation puts the formation energy (no corrections) at -1.094 eV/atom. Its calculated density is 9.9 g/cm3.

---

No. 3
Computed, not measured: MnSbRhF2 at its PBEsol-relaxed geometry at the SCAN level of DFT.

a = 4.1131 Å, b = 4.1131 Å, c = 5.4991 Å
α = 90.00°, β = 90.00°, γ = 90.00°
Last column: magnetic moment on the atom in μB.
Element x y z (fractional)
Sb1 0.0000 0.0000 0.0000  -0.10
Mn1 0.0000 0.0000 0.5000  4.13
Rh1 0.5000 0.5000 0.5000  1.23
F1 0.0000 0.5000 0.0000  0.00
F2 0.5000 0.0000 0.0000  0.00

The volume comes out at 93.03 Å³ per cell. The magnetic moment is 5.47 μB per formula unit. The electronic total energy is -98.703 eV/cell. The calculation puts the formation energy (no corrections) at -0.467 eV/atom. Its calculated density is 5.7 g/cm3.